1.
Density functional theory data (PBE) for Ce4PuGeAu after structural relaxation.

Cell lengths 6.591, 6.364, 8.836 Å; angles 90.00, 104.95, 90.00 degrees
Space group P2_1/m (No. 11)
Asymmetric unit:
Ce1 0.173 0.018 0.258 [4 per cell]
Ce2 0.302 0.750 0.666 [2 per cell]
Ce3 0.318 0.250 0.917 [2 per cell]
Pu1 0.016 0.250 0.594 [2 per cell]
Ge1 0.189 0.750 0.974 [2 per cell]
Au1 0.442 0.250 0.578 [2 per cell]


2.
Density functional theory data (PBE) for TlInTc2Ge after structural relaxation.

Cell lengths 5.149, 5.149, 5.431 Å; angles 90.00, 90.00, 90.00 degrees
Space group P4/mmm (No. 123)
Asymmetric unit:
Tl1 0.000 0.000 0.000 [1 per cell]
In1 0.000 0.000 0.500 [1 per cell]
Tc1 0.000 0.500 0.500 [2 per cell]
Ge1 0.500 0.500 0.000 [1 per cell]


3.
Density functional theory data (PBE) for TiFeOs after structural relaxation.

Cell lengths 2.695, 2.695, 12.778 Å; angles 90.00, 90.00, 90.00 degrees
Space group I4mm (No. 107)
Asymmetric unit:
Ti1 0.000 0.000 0.000 [2 per cell]
Fe1 0.000 0.000 0.817 [2 per cell]
Os1 0.000 0.000 0.198 [2 per cell]


4.
Density functional theory data (PBE) for Li2PmDy after structural relaxation.

Calculated values
The polymorph energy (0 for the lowest one) is 129 meV per atom.

Cell lengths 3.3445, 3.3445, 35.6506 Å; angles 90.00, 90.00, 120.00 degrees
Space group R-3m (No. 166, hexagonal axes)
Asymmetric unit:
Li1 0.0000 0.0000 0.0875 [6 per cell]
Pm1 0.0000 0.0000 0.5000 [3 per cell]
Dy1 0.0000 0.0000 0.0000 [3 per cell]


5.
Density functional theory data (PBE) for ZnCrHgOs2 after structural relaxation.

Cell lengths 4.950, 4.950, 4.696 Å; angles 90.00, 90.00, 90.00 degrees
Space group P4/mmm (No. 123)
Asymmetric unit:
Zn1 0.000 0.000 0.000 [1 per cell]
Cr1 0.500 0.500 0.000 [1 per cell]
Hg1 0.500 0.500 0.500 [1 per cell]
Os1 0.000 0.500 0.500 [2 per cell]


6.
Density functional theory data (PBE) for CaAsIr after structural relaxation.

Cell lengths 3.768, 10.796, 5.720 Å; angles 90.00, 90.00, 90.00 degrees
Space group Cmcm (No. 63)
Asymmetric unit:
Ca1 0.000 0.186 0.250 [4 per cell]
As1 0.000 0.098 0.750 [4 per cell]
Ir1 0.000 0.500 0.000 [4 per cell]


no.,formation enthalpy at 0 K (eV per atom),total moment (μB per atom)
1,-0.3519,0.86
2,1.8658,1.15
3,0.5651,0.12
4,0.2823,0.00
5,2.8842,0.45
6,-0.7437,0.00